The following is a PBE calculation of MgNiCl2 after structural relaxation, from Alexandria via LeMat-Bulk.

As for the energy above the lowest structure with this stoichiometry: 0.74 eV/f.u. The value obtained for the raw formation energy is -0.61 eV/atom. Its calculated density is 3.14 g cm⁻³. As for the total DFT energy (no corrections): -3.3820 eV per atom. As for the calculated volume: 20.37 Å³/atom.

The structure belongs to space group R-3m (No. 166, hexagonal axes); the cell edges are 3.6820, 3.6820 and 20.8192 Å and the angles 90.00°, 90.00° and 120.00°. The distinct sites, in fractional coordinates, are Mg at (0.0000, 0.0000, 0.0000), Ni at (0.0000, 0.0000, 0.5000) and Cl at (0.0000, 0.0000, 0.3992).

The following is a PBE calculation of MgNiCl3 after structural relaxation, from Alexandria via LeMat-Bulk.

As for the energy above the lowest structure with this stoichiometry: 0.21 eV/f.u. The value obtained for the raw formation energy is -0.55 eV/atom. Its calculated density is 2.79 g cm⁻³. As for the total DFT energy (no corrections): -3.1289 eV per atom. As for the calculated volume: 22.54 Å³/atom.

The structure belongs to space group Pm-3m (No. 221); the cell edges are 4.8301, 4.8301 and 4.8301 Å and the angles 90.00°, 90.00° and 90.00°. The distinct sites, in fractional coordinates, are Mg at (0.0000, 0.0000, 0.0000), Ni at (0.5000, 0.5000, 0.5000) and Cl at (0.0000, 0.0000, 0.5000).

The following is a PBE calculation of MgNiCl4 after structural relaxation, from Alexandria via LeMat-Bulk.

As for the energy above the lowest structure with this stoichiometry: 0.00 eV/f.u. The value obtained for the raw formation energy is -1.20 eV/atom. Its calculated density is 2.84 g cm⁻³. As for the total DFT energy (no corrections): -3.6637 eV per atom. As for the calculated volume: 21.91 Å³/atom.

The structure belongs to space group Imma (No. 74); the cell edges are 7.0913, 7.3414 and 10.1013 Å and the angles 90.00°, 90.00° and 90.00°. The distinct sites, in fractional coordinates, are Mg at (0.0000, 0.0000, 0.0000), Ni at (0.2500, 0.2500, 0.2500), Cl at (0.0000, 0.0267, 0.2477) and Cl at (0.2420, 0.2500, 0.0103).

The following is a PBE calculation of Mg2NiCl after structural relaxation, from Alexandria via LeMat-Bulk.

As for the energy above the lowest structure with this stoichiometry: 0.56 eV/f.u. The value obtained for the raw formation energy is -0.41 eV/atom. Its calculated density is 2.81 g cm⁻³. As for the total DFT energy (no corrections): -3.1142 eV per atom. As for the calculated volume: 21.08 Å³/atom.

The structure belongs to space group Imm2 (No. 44); the cell edges are 3.1617, 3.3028 and 16.1519 Å and the angles 90.00°, 90.00° and 90.00°. The distinct sites, in fractional coordinates, are Mg at (0.0000, 0.0000, 0.0000), Mg at (0.0000, 0.5000, 0.1972), Ni at (0.0000, 0.5000, 0.6278) and Cl at (0.0000, 0.0000, 0.4133).

The following is a PBE calculation of Mg2NiCl after structural relaxation, from Alexandria via LeMat-Bulk.

As for the energy above the lowest structure with this stoichiometry: 0.31 eV/f.u. The value obtained for the raw formation energy is -0.47 eV/atom. Its calculated density is 3.37 g cm⁻³. As for the total DFT energy (no corrections): -3.1780 eV per atom. As for the calculated volume: 17.56 Å³/atom.

The structure belongs to space group Cmmm (No. 65); the cell edges are 4.4223, 4.4433 and 7.1502 Å and the angles 90.00°, 90.00° and 90.00°. The distinct sites, in fractional coordinates, are Mg at (0.0000, 0.0000, 0.2103), Ni at (0.0000, 0.5000, 0.0000) and Cl at (0.0000, 0.5000, 0.5000).

The following is a PBE calculation of MgNiCl2 after structural relaxation, from Alexandria via LeMat-Bulk.

As for the energy above the lowest structure with this stoichiometry: 0.00 eV/f.u. The value obtained for the raw formation energy is -0.80 eV/atom. Its calculated density is 2.67 g cm⁻³. As for the total DFT energy (no corrections): -3.5659 eV per atom. As for the calculated volume: 23.96 Å³/atom.

The structure belongs to space group C2/m (No. 12); the cell edges are 12.7069, 3.4968 and 4.3234 Å and the angles 90.00°, 93.80° and 90.00°. The distinct sites, in fractional coordinates, are Mg at (0.0000, 0.0000, 0.0000), Ni at (0.0000, 0.5000, 0.5000) and Cl at (0.1292, 0.5000, 0.2140).

The following is a PBE calculation of MgNiCl2 after structural relaxation, from Alexandria via LeMat-Bulk.

As for the energy above the lowest structure with this stoichiometry: 1.53 eV/f.u. The value obtained for the raw formation energy is -0.42 eV/atom. Its calculated density is 3.46 g cm⁻³. As for the total DFT energy (no corrections): -3.1846 eV per atom. As for the calculated volume: 18.48 Å³/atom.

The structure belongs to space group Immm (No. 71); the cell edges are 3.4881, 6.0214 and 7.0384 Å and the angles 90.00°, 90.00° and 90.00°. The distinct sites, in fractional coordinates, are Mg at (0.0000, 0.0000, 0.0000), Ni at (0.0000, 0.0000, 0.5000) and Cl at (0.0000, 0.5000, 0.2316).

The following is a PBE calculation of Rb2MgNiCl6 after structural relaxation, from Alexandria via LeMat-Bulk.

As for the energy above the lowest structure with this stoichiometry: 0.72 eV/f.u. The value obtained for the raw formation energy is -1.44 eV/atom. Its calculated density is 3.25 g cm⁻³. As for the total DFT energy (no corrections): -3.4804 eV per atom. As for the calculated volume: 23.87 Å³/atom.

The structure belongs to space group I4/mmm (No. 139); the cell edges are 7.2457, 7.2457 and 9.0939 Å and the angles 90.00°, 90.00° and 90.00°. The distinct sites, in fractional coordinates, are Rb at (0.0000, 0.5000, 0.2500), Mg at (0.0000, 0.0000, 0.0000), Ni at (0.0000, 0.0000, 0.5000), Cl at (0.0000, 0.0000, 0.2542) and Cl at (0.2449, 0.2449, 0.5000).

The following is a PBE calculation of Rb2MgNiCl6 after structural relaxation, from Alexandria via LeMat-Bulk.

As for the energy above the lowest structure with this stoichiometry: 0.00 eV/f.u. The value obtained for the raw formation energy is -1.51 eV/atom. Its calculated density is 3.02 g cm⁻³. As for the total DFT energy (no corrections): -3.5529 eV per atom. As for the calculated volume: 25.65 Å³/atom.

The structure belongs to space group R-3m (No. 166, hexagonal axes); the cell edges are 7.1010, 7.1010 and 35.2455 Å and the angles 90.00°, 90.00° and 120.00°. The distinct sites, in fractional coordinates, are Rb at (0.0000, 0.0000, 0.1254), Rb at (0.0000, 0.0000, 0.2921), Mg at (0.0000, 0.0000, 0.4132), Ni at (0.0000, 0.0000, 0.0000), Ni at (0.0000, 0.0000, 0.5000), Cl at (0.0091, 0.5045, 0.7066) and Cl at (0.0202, 0.5101, 0.1252).

The following is a PBE calculation of RbMgNi2Cl after structural relaxation, from Alexandria via LeMat-Bulk.

The value obtained for the raw formation energy is 1.51 eV/atom. Its calculated density is 2.83 g cm⁻³. As for the total DFT energy (no corrections): -1.6857 eV per atom. As for the calculated volume: 30.78 Å³/atom.

The structure belongs to space group P4/mmm (No. 123); the cell edges are 4.6925, 4.6925 and 6.9892 Å and the angles 90.00°, 90.00° and 90.00°. The distinct sites, in fractional coordinates, are Rb at (0.0000, 0.0000, 0.0000), Mg at (0.0000, 0.0000, 0.5000), Ni at (0.0000, 0.5000, 0.0000) and Cl at (0.5000, 0.5000, 0.5000).

The following is a PBE calculation of Mg2NiRhCl after structural relaxation, from Alexandria via LeMat-Bulk.

The value obtained for the raw formation energy is 0.18 eV/atom. Its calculated density is 3.81 g cm⁻³. As for the total DFT energy (no corrections): -3.4568 eV per atom. As for the calculated volume: 21.43 Å³/atom.

The structure belongs to space group P4/mmm (No. 123); the cell edges are 4.9437, 4.9437 and 4.3843 Å and the angles 90.00°, 90.00° and 90.00°. The distinct sites, in fractional coordinates, are Mg at (0.0000, 0.5000, 0.0000), Ni at (0.0000, 0.0000, 0.0000), Rh at (0.0000, 0.0000, 0.5000) and Cl at (0.5000, 0.5000, 0.5000).

The following is a PBE calculation of MgNiTe2Cl after structural relaxation, from Alexandria via LeMat-Bulk.

The value obtained for the raw formation energy is 0.43 eV/atom. Its calculated density is 4.63 g cm⁻³. As for the total DFT energy (no corrections): -2.6709 eV per atom. As for the calculated volume: 26.83 Å³/atom.

The structure belongs to space group P4/mmm (No. 123); the cell edges are 5.7130, 5.7130 and 4.1095 Å and the angles 90.00°, 90.00° and 90.00°. The distinct sites, in fractional coordinates, are Mg at (0.0000, 0.0000, 0.0000), Ni at (0.5000, 0.5000, 0.0000), Te at (0.0000, 0.5000, 0.5000) and Cl at (0.5000, 0.5000, 0.5000).

Repeat the fifth record exactly.
The following is a PBE calculation of Mg2NiCl after structural relaxation, from Alexandria via LeMat-Bulk.

As for the energy above the lowest structure with this stoichiometry: 0.31 eV/f.u. The value obtained for the raw formation energy is -0.47 eV/atom. Its calculated density is 3.37 g cm⁻³. As for the total DFT energy (no corrections): -3.1780 eV per atom. As for the calculated volume: 17.56 Å³/atom.

The structure belongs to space group Cmmm (No. 65); the cell edges are 4.4223, 4.4433 and 7.1502 Å and the angles 90.00°, 90.00° and 90.00°. The distinct sites, in fractional coordinates, are Mg at (0.0000, 0.0000, 0.2103), Ni at (0.0000, 0.5000, 0.0000) and Cl at (0.0000, 0.5000, 0.5000).